[1]
VASP calculation (PBE) on an optimized crystal structure of VCd2MoCl.

Space-group type ... No. 123
Total energy ... -3.29 eV/atom
Calculated density ... 5.96 Mg/m³
Raw formation energy ... 1436 meV per atom
Magnetization ... 0.16 μB/atom
Density of states at the Fermi level ... 7.21 states/eV/cell

a b c (Å): 5.0828 5.0828 4.3901
angles (deg): 90.00 90.00 90.00
Atoms (fractional coordinates):
V 0.0000 0.0000 0.0000
Cd 0.0000 0.5000 0.5000
Cd 0.5000 0.0000 0.5000
Mo 0.5000 0.5000 0.0000
Cl 0.5000 0.5000 0.5000

***

[2]
VASP calculation (PBE) on an optimized crystal structure of CdN2Cl.

Space-group type ... No. 166
Total energy ... -2.83 eV/atom
Calculated density ... 4.78 Mg/m³
Raw formation energy ... 2025 meV per atom
Magnetization ... 0.00 μB/atom
Density of states at the Fermi level ... 1.39 states/eV/cell

a b c (Å): 6.5443 6.5443 6.5443
angles (deg): 29.74 29.74 29.74
Atoms (fractional coordinates):
Cd 0.0000 0.0000 0.0000
N 0.1131 0.1131 0.1131
N 0.8869 0.8869 0.8869
Cl 0.5000 0.5000 0.5000

***

[3]
VASP calculation (PBE) on an optimized crystal structure of Cd3NCl.

Space-group type ... No. 221
Total energy ... -2.42 eV/atom
Calculated density ... 5.93 Mg/m³
Raw formation energy ... 167 meV per atom
Magnetization ... 0.00 μB/atom
Density of states at the Fermi level ... 1.21 states/eV/cell

a b c (Å): 4.7660 4.7660 4.7660
angles (deg): 90.00 90.00 90.00
Atoms (fractional coordinates):
Cd 0.0000 0.0000 0.5000
Cd 0.0000 0.5000 0.0000
Cd 0.5000 0.0000 0.0000
N 0.0000 0.0000 0.0000
Cl 0.5000 0.5000 0.5000

***

[4]
VASP calculation (PBE) on an optimized crystal structure of Cd4N2Cl5.

Space-group type ... No. 2
Total energy ... -3.30 eV/atom
Calculated density ... 3.40 Mg/m³
Raw formation energy ... -616 meV per atom
Magnetization ... 0.00 μB/atom
Density of states at the Fermi level ... 1.85 states/eV/cell

a b c (Å): 3.8075 6.8185 13.1135
angles (deg): 96.70 97.49 106.20
Atoms (fractional coordinates):
Cd 0.0829 0.3615 0.2812
Cd 0.1658 0.3230 0.5097
Cd 0.8342 0.6770 0.4903
Cd 0.9171 0.6385 0.7188
N 0.0191 0.4792 0.0397
N 0.9809 0.5208 0.9603
Cl 0.2675 0.3430 0.7150
Cl 0.4303 0.1230 0.2072
Cl 0.5000 0.0000 0.5000
Cl 0.5697 0.8770 0.7928
Cl 0.7325 0.6570 0.2850